# KBaHg2

Crystalline KBaHg2 at its relaxed geometry (GGA-PBE, Alexandria via LeMat-Bulk).

abc: 5.9676 5.9676 4.1297
angles: 90.00 90.00 90.30
Closest atoms and distances in Å follow each position.
Element x y z (fractional)
K: 0.0000 0.0000 0.0000  8 Hg 3.63
Ba: 0.5000 0.5000 0.0000  8 Hg 3.63
Hg: 0.0000 0.5000 0.5000  4 Ba 3.63, 4 K 3.63
Hg: 0.5000 0.0000 0.5000  4 Ba 3.63, 4 K 3.63

Output
Calculated total energy ... -1.250 eV per atom
E_form ... -0.344 eV/atom
Calculated density ... 6.52 g/cm³